Here is crystalline BaLiSc2 at its relaxed geometry from Alexandria. Energies are from PBE.

Values from the calculation:
ΔH_f (0 K), meV per atom: 489
Relative energy among the computed polymorphs, meV/atom: 264
Energy, eV per atom: -3.64
Crystal system: cubic

abc: 7.735 7.735 7.735
angles: 90.00 90.00 90.00
Space group Fm-3m (No. 225)
Asymmetric unit:
Ba1 0.000 0.000 0.000 (multiplicity 4)
Li1 0.000 0.000 0.500 (multiplicity 4)
Sc1 0.250 0.250 0.250 (multiplicity 8)



Here is crystalline BaLi2Sc2 at its relaxed geometry from Alexandria. Energies are from PBE.

Values from the calculation:
ΔH_f (0 K), meV per atom: 308
Relative energy among the computed polymorphs, meV/atom: 0
Energy, eV per atom: -3.37
Crystal system: tetragonal

abc: 9.053 9.053 3.364
angles: 90.00 90.00 90.00
Space group P4/mbm (No. 127)
Asymmetric unit:
Ba1 0.000 0.000 0.000 (multiplicity 2)
Li1 0.168 0.332 0.500 (multiplicity 4)
Sc1 0.120 0.620 0.000 (multiplicity 4)



Here is crystalline Ba2LiSc at its relaxed geometry from Alexandria. Energies are from PBE.

Values from the calculation:
ΔH_f (0 K), meV per atom: 269
Relative energy among the computed polymorphs, meV/atom: 50
Energy, eV per atom: -2.75
Crystal system: triclinic

abc: 3.891 6.653 13.371
angles: 95.07 97.66 106.89
Space group P1 (No. 1)
Asymmetric unit:
Ba1 0.000 0.000 0.000 (multiplicity 1)
Ba2 0.034 0.719 0.390 (multiplicity 1)
Ba3 0.148 0.468 0.839 (multiplicity 1)
Ba4 0.757 0.913 0.666 (multiplicity 1)
Li1 0.408 0.321 0.533 (multiplicity 1)
Li2 0.513 0.856 0.194 (multiplicity 1)
Sc1 0.238 0.244 0.262 (multiplicity 1)
Sc2 0.791 0.483 0.119 (multiplicity 1)



Here is crystalline Ba2LiSc at its relaxed geometry from Alexandria. Energies are from PBE.

Values from the calculation:
ΔH_f (0 K), meV per atom: 327
Relative energy among the computed polymorphs, meV/atom: 109
Energy, eV per atom: -2.70
Crystal system: trigonal

abc: 3.9346 3.9346 36.0465
angles: 90.00 90.00 120.00
Space group R-3m (No. 166, hexagonal axes)
Asymmetric unit:
Ba1 0.0000 0.0000 0.2479 (multiplicity 6)
Li1 0.0000 0.0000 0.0000 (multiplicity 3)
Sc1 0.0000 0.0000 0.5000 (multiplicity 3)



Here is crystalline BaLiSc2 at its relaxed geometry from Alexandria. Energies are from PBE.

Values from the calculation:
ΔH_f (0 K), meV per atom: 364
Relative energy among the computed polymorphs, meV/atom: 138
Energy, eV per atom: -3.76
Crystal system: monoclinic

abc: 3.463 5.754 6.110
angles: 90.00 100.25 90.00
Space group P2/m (No. 10)
Asymmetric unit:
Ba1 0.000 0.000 0.000 (multiplicity 1)
Li1 0.500 0.000 0.500 (multiplicity 1)
Sc1 0.315 0.500 0.722 (multiplicity 2)



Here is crystalline BaLiSc2 at its relaxed geometry from Alexandria. Energies are from PBE.

Values from the calculation:
ΔH_f (0 K), meV per atom: 335
Relative energy among the computed polymorphs, meV/atom: 109
Energy, eV per atom: -3.79
Crystal system: tetragonal

abc: 3.637 3.637 8.964
angles: 90.00 90.00 90.00
Space group P4/mmm (No. 123)
Asymmetric unit:
Ba1 0.000 0.000 0.000 (multiplicity 1)
Li1 0.000 0.000 0.500 (multiplicity 1)
Sc1 0.500 0.500 0.326 (multiplicity 2)



Here is crystalline Ba2LiSc at its relaxed geometry from Alexandria. Energies are from PBE.

Values from the calculation:
ΔH_f (0 K), meV per atom: 325
Relative energy among the computed polymorphs, meV/atom: 106
Energy, eV per atom: -2.70
Crystal system: cubic

abc: 8.723 8.723 8.723
angles: 90.00 90.00 90.00
Space group Fm-3m (No. 225)
Asymmetric unit:
Ba1 0.250 0.250 0.250 (multiplicity 8)
Li1 0.000 0.000 0.000 (multiplicity 4)
Sc1 0.000 0.000 0.500 (multiplicity 4)



Here is crystalline BaLiSc at its relaxed geometry from Alexandria. Energies are from PBE.

Values from the calculation:
ΔH_f (0 K), meV per atom: 298
Relative energy among the computed polymorphs, meV/atom: 0
Energy, eV per atom: -3.09
Crystal system: tetragonal

abc: 3.885 3.885 12.983
angles: 90.00 90.00 90.00
Space group I4mm (No. 107)
Asymmetric unit:
Ba1 0.000 0.000 0.000 (multiplicity 2)
Li1 0.000 0.000 0.684 (multiplicity 2)
Sc1 0.000 0.000 0.289 (multiplicity 2)



Here is crystalline Ba2LiSc at its relaxed geometry from Alexandria. Energies are from PBE.

Values from the calculation:
ΔH_f (0 K), meV per atom: 232
Relative energy among the computed polymorphs, meV/atom: 13
Energy, eV per atom: -2.79
Crystal system: monoclinic

abc: 8.795 4.035 9.157
angles: 90.00 90.19 90.00
Space group Pm (No. 6)
Asymmetric unit:
Ba1 0.000 0.000 0.000 (multiplicity 1)
Ba2 0.038 0.000 0.464 (multiplicity 1)
Ba3 0.487 0.000 0.011 (multiplicity 1)
Ba4 0.701 0.500 0.679 (multiplicity 1)
Li1 0.277 0.500 0.247 (multiplicity 1)
Li2 0.294 0.500 0.693 (multiplicity 1)
Sc1 0.468 0.000 0.425 (multiplicity 1)
Sc2 0.713 0.500 0.281 (multiplicity 1)



Here is crystalline Ba2LiSc at its relaxed geometry from Alexandria. Energies are from PBE.

Values from the calculation:
ΔH_f (0 K), meV per atom: 260
Relative energy among the computed polymorphs, meV/atom: 41
Energy, eV per atom: -2.76
Crystal system: orthorhombic

abc: 4.334 4.349 8.658
angles: 90.00 90.00 90.00
Space group Pmmm (No. 47)
Asymmetric unit:
Ba1 0.000 0.000 0.249 (multiplicity 2)
Li1 0.500 0.500 0.500 (multiplicity 1)
Sc1 0.500 0.500 0.000 (multiplicity 1)



Here is crystalline BaLiSc2 at its relaxed geometry from Alexandria. Energies are from PBE.

Values from the calculation:
ΔH_f (0 K), meV per atom: 391
Relative energy among the computed polymorphs, meV/atom: 166
Energy, eV per atom: -3.73
Crystal system: tetragonal

abc: 4.634 4.634 5.679
angles: 90.00 90.00 90.00
Space group P4/mmm (No. 123)
Asymmetric unit:
Ba1 0.000 0.000 0.000 (multiplicity 1)
Li1 0.500 0.500 0.000 (multiplicity 1)
Sc1 0.000 0.500 0.500 (multiplicity 2)



Here is crystalline BaLiSc2 at its relaxed geometry from Alexandria. Energies are from PBE.

Values from the calculation:
ΔH_f (0 K), meV per atom: 804
Relative energy among the computed polymorphs, meV/atom: 578
Energy, eV per atom: -3.32
Crystal system: tetragonal

abc: 5.426 5.426 21.994
angles: 90.00 90.00 90.00
Space group I4_1/amd (No. 141, origin choice 2)
Asymmetric unit:
Ba1 0.000 0.250 0.375 (multiplicity 4)
Li1 0.000 0.250 0.875 (multiplicity 4)
Sc1 0.000 0.000 0.000 (multiplicity 8)



Here is crystalline BaLiSc2 at its relaxed geometry from Alexandria. Energies are from PBE.

Values from the calculation:
ΔH_f (0 K), meV per atom: 473
Relative energy among the computed polymorphs, meV/atom: 248
Energy, eV per atom: -3.65
Crystal system: trigonal

abc: 5.0428 5.0428 18.5225
angles: 90.00 90.00 120.00
Space group R-3m (No. 166, hexagonal axes)
Asymmetric unit:
Ba1 0.0000 0.0000 0.0000 (multiplicity 3)
Li1 0.0000 0.0000 0.5000 (multiplicity 3)
Sc1 0.0000 0.0000 0.2048 (multiplicity 6)



Here is crystalline BaLiSc at its relaxed geometry from Alexandria. Energies are from PBE.

Values from the calculation:
ΔH_f (0 K), meV per atom: 937
Relative energy among the computed polymorphs, meV/atom: 640
Energy, eV per atom: -2.45
Crystal system: cubic

abc: 7.741 7.741 7.741
angles: 90.00 90.00 90.00
Space group F-43m (No. 216)
Asymmetric unit:
Ba1 0.000 0.000 0.000 (multiplicity 4)
Li1 0.250 0.250 0.750 (multiplicity 4)
Sc1 0.250 0.250 0.250 (multiplicity 4)